The following is a GGA-PBE calculation of crystalline LaYCu2 at its relaxed geometry, from Alexandria.

```
LaYCu2
1.0
5.075 -0.013 0.000
0.012 5.075 0.000
0.000 0.000 3.523
Y Cu La
1 2 1
Direct
0.000 0.500 0.500
0.000 0.000 0.000
0.500 0.500 0.000
0.500 0.000 0.500
```

SG = P4/mmm (123)
energy relative to the elements = -175 meV/atom
ΔE to the lowest computed polymorph = 0.021 eV/atom